! PBE Tb7CeDy2, optimized geometry; values from VASP
! DOS(E_F)   1.95 states/eV/atom
! Energy of formation from the pure elements   0.72 eV/atom
! Volume   39.4 A^3/atom
! Final energy   -4.0341 eV per atom
! Symmetry   Cmmm
&SYSTEM
  ibrav = 0, nat = 10, ntyp = 3
/
ATOMIC_SPECIES
Tb 158.93 Tb.upf
Ce 140.12 Ce.upf
Dy 162.50 Dy.upf
ATOMIC_POSITIONS crystal
Tb 0.000 0.000 0.000
Tb 0.211 0.433 0.000
Tb 0.296 0.704 0.500
Tb 0.433 0.211 0.000
Tb 0.567 0.789 0.000
Tb 0.704 0.296 0.500
Tb 0.789 0.567 0.000
Ce 0.500 0.500 0.500
Dy 0.204 0.796 0.000
Dy 0.796 0.204 0.000
CELL_PARAMETERS angstrom
4.349 -8.375 0.000
4.349 8.375 0.000
0.000 0.000 5.405